Computed, not measured: a relaxed structure of PmTm4Cu4 at the GGA-PBE level of DFT.

a = 8.889 Å, b = 8.889 Å, c = 5.602 Å
α = 90.00°, β = 90.00°, γ = 90.00°
Space group P4_2/n (No. 86, origin choice 2)
Unique sites:
Pm: 0.250 0.250 0.250 (multiplicity 2)
Tm: 0.081 0.656 0.151 (multiplicity 8)
Cu: 0.032 0.606 0.638 (multiplicity 8)

- density of states at the Fermi level (states/eV per cell) = 23.86
- calculated formation energy (eV/atom) = -0.045
- raw total energy (Ry per atom) = -0.3220


Computed, not measured: a relaxed structure of PmTmCu2 at the GGA-PBE level of DFT.

a = 3.468 Å, b = 3.468 Å, c = 7.050 Å
α = 90.00°, β = 90.00°, γ = 90.00°
Space group P4/mmm (No. 123)
Unique sites:
Pm: 0.000 0.000 0.000 (multiplicity 1)
Tm: 0.000 0.000 0.500 (multiplicity 1)
Cu: 0.500 0.500 0.274 (multiplicity 2)

- density of states at the Fermi level (states/eV per cell) = 1.97
- calculated formation energy (eV/atom) = -0.231
- polymorph energy (0 for the lowest one) (eV per atom) = 0.0000
- raw total energy (Ry per atom) = -0.3369


Computed, not measured: a relaxed structure of Pm2TmCu6 at the GGA-PBE level of DFT.

a = 3.519 Å, b = 7.279 Å, c = 13.645 Å
α = 90.00°, β = 90.00°, γ = 90.00°
Space group Immm (No. 71)
Unique sites:
Pm: 0.000 0.000 0.144 (multiplicity 4)
Tm: 0.000 0.500 0.000 (multiplicity 2)
Cu: 0.000 0.170 0.336 (multiplicity 8)
Cu: 0.000 0.319 0.500 (multiplicity 4)

- density of states at the Fermi level (states/eV per cell) = 11.09
- calculated formation energy (eV/atom) = -0.087
- polymorph energy (0 for the lowest one) (eV per atom) = 0.1475
- raw total energy (Ry per atom) = -0.3212


Computed, not measured: a relaxed structure of PmTmCu3 at the GGA-PBE level of DFT.

a = 3.691 Å, b = 25.327 Å, c = 4.298 Å
α = 90.00°, β = 90.00°, γ = 90.00°
Space group Cmcm (No. 63)
Unique sites:
Pm: 0.000 0.073 0.250 (multiplicity 4)
Tm: 0.000 0.206 0.750 (multiplicity 4)
Cu: 0.000 0.325 0.750 (multiplicity 4)
Cu: 0.000 0.379 0.250 (multiplicity 4)
Cu: 0.000 0.476 0.250 (multiplicity 4)

- density of states at the Fermi level (states/eV per cell) = 13.90
- calculated formation energy (eV/atom) = -0.241
- raw total energy (Ry per atom) = -0.3339


Computed, not measured: a relaxed structure of PmTm4Cu at the GGA-PBE level of DFT.

a = 3.482 Å, b = 3.482 Å, c = 13.620 Å
α = 90.00°, β = 90.00°, γ = 90.00°
Space group P4/mmm (No. 123)
Unique sites:
Pm: 0.000 0.000 0.000 (multiplicity 1)
Tm: 0.000 0.000 0.378 (multiplicity 2)
Tm: 0.500 0.500 0.188 (multiplicity 2)
Cu: 0.500 0.500 0.500 (multiplicity 1)

- density of states at the Fermi level (states/eV per cell) = 8.79
- calculated formation energy (eV/atom) = -0.059
- raw total energy (Ry per atom) = -0.3318


Computed, not measured: a relaxed structure of PmTm2Cu at the GGA-PBE level of DFT.

a = 3.464 Å, b = 3.464 Å, c = 8.701 Å
α = 90.00°, β = 90.00°, γ = 90.00°
Space group P4/mmm (No. 123)
Unique sites:
Pm: 0.000 0.000 0.000 (multiplicity 1)
Tm: 0.500 0.500 0.308 (multiplicity 2)
Cu: 0.000 0.000 0.500 (multiplicity 1)

- density of states at the Fermi level (states/eV per cell) = 4.48
- calculated formation energy (eV/atom) = -0.116
- polymorph energy (0 for the lowest one) (eV per atom) = 0.0000
- raw total energy (Ry per atom) = -0.3354


Computed, not measured: a relaxed structure of PmTm2Cu at the GGA-PBE level of DFT.

a = 4.896 Å, b = 7.458 Å, c = 6.322 Å
α = 90.00°, β = 112.68°, γ = 90.00°
Space group P2_1/m (No. 11)
Unique sites:
Pm: 0.047 0.250 0.095 (multiplicity 2)
Tm: 0.350 0.032 0.700 (multiplicity 4)
Cu: 0.202 0.750 0.404 (multiplicity 2)

- density of states at the Fermi level (states/eV per cell) = 11.21
- calculated formation energy (eV/atom) = -0.077
- polymorph energy (0 for the lowest one) (eV per atom) = 0.0396
- raw total energy (Ry per atom) = -0.3325


Computed, not measured: a relaxed structure of PmTm2Cu at the GGA-PBE level of DFT.

a = 3.6462 Å, b = 3.6462 Å, c = 28.8520 Å
α = 90.00°, β = 90.00°, γ = 120.00°
Space group R3m (No. 160, hexagonal axes)
Unique sites:
Pm: 0.0000 0.0000 0.0000 (multiplicity 3)
Tm: 0.0000 0.0000 0.2333 (multiplicity 3)
Tm: 0.0000 0.0000 0.4363 (multiplicity 3)
Cu: 0.0000 0.0000 0.8355 (multiplicity 3)

- density of states at the Fermi level (states/eV per cell) = 14.31
- calculated formation energy (eV/atom) = 0.015
- polymorph energy (0 for the lowest one) (eV per atom) = 0.1312
- raw total energy (Ry per atom) = -0.3258


Computed, not measured: a relaxed structure of PmTm2Cu2 at the GGA-PBE level of DFT.

a = 4.967 Å, b = 4.594 Å, c = 10.656 Å
α = 90.00°, β = 96.36°, γ = 90.00°
Space group P2_1/m (No. 11)
Unique sites:
Pm: 0.191 0.250 0.242 (multiplicity 2)
Tm: 0.250 0.750 0.497 (multiplicity 2)
Tm: 0.345 0.250 0.887 (multiplicity 2)
Cu: 0.128 0.750 0.007 (multiplicity 2)
Cu: 0.283 0.250 0.634 (multiplicity 2)

- density of states at the Fermi level (states/eV per cell) = 10.91
- calculated formation energy (eV/atom) = -0.131
- polymorph energy (0 for the lowest one) (eV per atom) = 0.0298
- raw total energy (Ry per atom) = -0.3313


Computed, not measured: a relaxed structure of Pm2Tm2Cu at the GGA-PBE level of DFT.

a = 3.499 Å, b = 3.499 Å, c = 22.711 Å
α = 90.00°, β = 90.00°, γ = 90.00°
Space group I4/mmm (No. 139)
Unique sites:
Pm: 0.000 0.000 0.192 (multiplicity 4)
Tm: 0.000 0.000 0.427 (multiplicity 4)
Cu: 0.000 0.000 0.000 (multiplicity 2)

- density of states at the Fermi level (states/eV per cell) = 13.47
- calculated formation energy (eV/atom) = -0.083
- raw total energy (Ry per atom) = -0.3375


Computed, not measured: a relaxed structure of PmTmCu4 at the GGA-PBE level of DFT.

a = 7.466 Å, b = 7.466 Å, c = 7.466 Å
α = 90.00°, β = 90.00°, γ = 90.00°
Space group F-43m (No. 216)
Unique sites:
Pm: 0.000 0.000 0.000 (multiplicity 4)
Tm: 0.250 0.250 0.250 (multiplicity 4)
Cu: 0.124 0.124 0.624 (multiplicity 16)

- density of states at the Fermi level (states/eV per cell) = 13.68
- calculated formation energy (eV/atom) = -0.149
- polymorph energy (0 for the lowest one) (eV per atom) = 0.1038
- raw total energy (Ry per atom) = -0.3246


Computed, not measured: a relaxed structure of PmTm2Cu2 at the GGA-PBE level of DFT.

a = 3.488 Å, b = 5.107 Å, c = 13.040 Å
α = 90.00°, β = 97.68°, γ = 90.00°
Space group P2_1/m (No. 11)
Unique sites:
Pm: 0.143 0.250 0.283 (multiplicity 2)
Tm: 0.046 0.750 0.093 (multiplicity 2)
Tm: 0.231 0.750 0.461 (multiplicity 2)
Cu: 0.358 0.250 0.719 (multiplicity 2)
Cu: 0.457 0.750 0.915 (multiplicity 2)

- density of states at the Fermi level (states/eV per cell) = 8.81
- calculated formation energy (eV/atom) = -0.161
- polymorph energy (0 for the lowest one) (eV per atom) = 0.0000
- raw total energy (Ry per atom) = -0.3335


Computed, not measured: a relaxed structure of PmTm3Cu2 at the GGA-PBE level of DFT.

a = 3.449 Å, b = 3.449 Å, c = 12.110 Å
α = 90.00°, β = 90.00°, γ = 90.00°
Space group P4/mmm (No. 123)
Unique sites:
Pm: 0.000 0.000 0.000 (multiplicity 1)
Tm: 0.500 0.500 0.222 (multiplicity 2)
Tm: 0.500 0.500 0.500 (multiplicity 1)
Cu: 0.000 0.000 0.358 (multiplicity 2)

- density of states at the Fermi level (states/eV per cell) = 5.56
- calculated formation energy (eV/atom) = -0.178
- raw total energy (Ry per atom) = -0.3360